Below is CsKCd2Hg4 after structural relaxation, with properties calculated at the PBE level.

SG: R-3m, No. 166
Energy of formation from the pure elements in eV per formula unit: -1.22

```
data_CsKCd2Hg4
_chemical_formula_sum 'Cs1 K1 Cd2 Hg4'
_symmetry_space_group_name_H-M 'P 1'
_symmetry_Int_Tables_number 1
_cell_length_a 5.200
_cell_length_b 5.200
_cell_length_c 12.136
_cell_angle_alpha 77.63
_cell_angle_beta 77.63
_cell_angle_gamma 60.00
loop_
_symmetry_equiv_pos_as_xyz
'x,y,z'
loop_
_atom_site_label
_atom_site_type_symbol
_atom_site_fract_x
_atom_site_fract_y
_atom_site_fract_z
_atom_site_occupancy
Hg1 Hg 0.888 0.888 0.336 1
Hg2 Hg 0.402 0.402 0.795 1
Cd1 Cd 0.764 0.764 0.707 1
Hg3 Hg 0.112 0.112 0.664 1
Cs1 Cs 0.000 0.000 0.000 1
Hg4 Hg 0.598 0.598 0.205 1
K1 K 0.500 0.500 0.500 1
Cd2 Cd 0.236 0.236 0.293 1
```

=====

Below is Cs2K3Cd4Hg2 after structural relaxation, with properties calculated at the PBE level.

SG: I4/mmm, No. 139
Energy of formation from the pure elements in eV per formula unit: -0.29

```
data_Cs2K3Cd4Hg2
_chemical_formula_sum 'Cs2 K3 Cd4 Hg2'
_symmetry_space_group_name_H-M 'P 1'
_symmetry_Int_Tables_number 1
_cell_length_a 5.866
_cell_length_b 5.866
_cell_length_c 15.038
_cell_angle_alpha 101.25
_cell_angle_beta 101.25
_cell_angle_gamma 90.00
loop_
_symmetry_equiv_pos_as_xyz
'x,y,z'
loop_
_atom_site_label
_atom_site_type_symbol
_atom_site_fract_x
_atom_site_fract_y
_atom_site_fract_z
_atom_site_occupancy
Cs1 Cs 0.679 0.679 0.358 1
Cd1 Cd 0.581 0.081 0.162 1
Hg1 Hg 0.551 0.551 0.102 1
Hg2 Hg 0.449 0.449 0.898 1
Cd2 Cd 0.919 0.419 0.838 1
K1 K 0.845 0.845 0.691 1
Cd3 Cd 0.081 0.581 0.162 1
Cd4 Cd 0.419 0.919 0.838 1
Cs2 Cs 0.321 0.321 0.642 1
K2 K 0.155 0.155 0.309 1
K3 K 0.000 0.000 0.000 1
```

=====

Below is CsKCd2Hg after structural relaxation, with properties calculated at the PBE level.

SG: P4/mmm, No. 123
Energy of formation from the pure elements in eV per formula unit: -0.02

```
data_CsKCd2Hg
_chemical_formula_sum 'Cs1 K1 Cd2 Hg1'
_symmetry_space_group_name_H-M 'P 1'
_symmetry_Int_Tables_number 1
_cell_length_a 5.963
_cell_length_b 5.963
_cell_length_c 6.334
_cell_angle_alpha 90.00
_cell_angle_beta 90.00
_cell_angle_gamma 90.00
loop_
_symmetry_equiv_pos_as_xyz
'x,y,z'
loop_
_atom_site_label
_atom_site_type_symbol
_atom_site_fract_x
_atom_site_fract_y
_atom_site_fract_z
_atom_site_occupancy
Cs1 Cs 0.500 0.500 0.500 1
Cd1 Cd 0.000 0.500 0.000 1
Cd2 Cd 0.500 0.000 0.000 1
K1 K 0.000 0.000 0.500 1
Hg1 Hg 0.000 0.000 0.000 1
```

=====

Below is CsKCdHg2 after structural relaxation, with properties calculated at the PBE level.

SG: Cmme, No. 67
Energy of formation from the pure elements in eV per formula unit: -0.53

```
data_CsKCdHg2
_chemical_formula_sum 'Cs2 K2 Cd2 Hg4'
_symmetry_space_group_name_H-M 'P 1'
_symmetry_Int_Tables_number 1
_cell_length_a 7.669
_cell_length_b 6.688
_cell_length_c 10.621
_cell_angle_alpha 90.00
_cell_angle_beta 90.00
_cell_angle_gamma 124.98
loop_
_symmetry_equiv_pos_as_xyz
'x,y,z'
loop_
_atom_site_label
_atom_site_type_symbol
_atom_site_fract_x
_atom_site_fract_y
_atom_site_fract_z
_atom_site_occupancy
K1 K 0.000 0.000 0.500 1
Hg1 Hg 0.888 0.776 0.196 1
K2 K 0.500 0.000 0.500 1
Hg2 Hg 0.112 0.224 0.804 1
Hg3 Hg 0.612 0.224 0.196 1
Cd1 Cd 0.750 0.000 0.000 1
Hg4 Hg 0.388 0.776 0.804 1
Cd2 Cd 0.250 0.000 0.000 1
Cs1 Cs 0.750 0.500 0.818 1
Cs2 Cs 0.250 0.500 0.182 1
```

=====

Below is CsKCdHg after structural relaxation, with properties calculated at the PBE level.

SG: Cm, No. 8
Energy of formation from the pure elements in eV per formula unit: -0.58

```
data_CsKCdHg
_chemical_formula_sum 'Cs1 K1 Cd1 Hg1'
_symmetry_space_group_name_H-M 'P 1'
_symmetry_Int_Tables_number 1
_cell_length_a 5.314
_cell_length_b 5.314
_cell_length_c 8.778
_cell_angle_alpha 90.12
_cell_angle_beta 107.50
_cell_angle_gamma 120.00
loop_
_symmetry_equiv_pos_as_xyz
'x,y,z'
loop_
_atom_site_label
_atom_site_type_symbol
_atom_site_fract_x
_atom_site_fract_y
_atom_site_fract_z
_atom_site_occupancy
Hg1 Hg 0.496 0.612 0.108 1
Cd1 Cd 0.827 0.278 0.106 1
Cs1 Cs 0.365 0.048 0.413 1
K1 K 0.004 0.866 0.869 1
```

=====

Below is CsKCdHg after structural relaxation, with properties calculated at the PBE level.

SG: F-43m, No. 216
Energy of formation from the pure elements in eV per formula unit: -0.33

```
data_CsKCdHg
_chemical_formula_sum 'Cs1 K1 Cd1 Hg1'
_symmetry_space_group_name_H-M 'P 1'
_symmetry_Int_Tables_number 1
_cell_length_a 6.363
_cell_length_b 6.363
_cell_length_c 6.363
_cell_angle_alpha 60.00
_cell_angle_beta 60.00
_cell_angle_gamma 60.00
loop_
_symmetry_equiv_pos_as_xyz
'x,y,z'
loop_
_atom_site_label
_atom_site_type_symbol
_atom_site_fract_x
_atom_site_fract_y
_atom_site_fract_z
_atom_site_occupancy
Cd1 Cd 0.750 0.750 0.750 1
Hg1 Hg 0.250 0.250 0.250 1
Cs1 Cs 0.000 0.000 0.000 1
K1 K 0.500 0.500 0.500 1
```

=====

| no. | raw total energy (eV/atom) |
| --- | --- |
| 1 | -0.7759 |
| 2 | -0.8682 |
| 3 | -0.8199 |
| 4 | -0.8001 |
| 5 | -0.9376 |
| 6 | -0.8733 |